Record 1
! KTlRe2 PBE-GGA relaxed; values from VASP
&SYSTEM
  ibrav = 0, nat = 4, ntyp = 3
/
ATOMIC_SPECIES
K 39.10 K.upf
Tl 204.38 Tl.upf
Re 186.21 Re.upf
ATOMIC_POSITIONS crystal
K 0.000 0.000 0.000
Tl 0.763 0.763 0.763
Re 0.239 0.239 0.239
Re 0.511 0.511 0.511
CELL_PARAMETERS angstrom
1.491 0.861 10.589
-1.491 0.861 10.589
0.000 -1.722 10.589
! * E above lowest polymorph: 198 meV/atom
! * energy: -0.462 Ry/atom
! * size of the total moment: 0.00 μB per atom

***

Record 2
! K2TlRe PBE-GGA relaxed; values from VASP
&SYSTEM
  ibrav = 0, nat = 4, ntyp = 3
/
ATOMIC_SPECIES
K 39.10 K.upf
Tl 204.38 Tl.upf
Re 186.21 Re.upf
ATOMIC_POSITIONS crystal
K 0.000 0.000 0.000
K 0.500 0.500 0.407
Tl 0.500 0.500 0.730
Re 0.000 0.000 0.674
CELL_PARAMETERS angstrom
3.794 0.000 0.000
0.000 3.794 0.000
0.000 0.000 10.177
! * E above lowest polymorph: 46 meV/atom
! * energy: -0.241 Ry/atom
! * size of the total moment: 0.21 μB per atom

***

Record 3
! KV3Re PBE-GGA relaxed; values from VASP
&SYSTEM
  ibrav = 0, nat = 5, ntyp = 3
/
ATOMIC_SPECIES
K 39.10 K.upf
V 50.94 V.upf
Re 186.21 Re.upf
ATOMIC_POSITIONS crystal
K 0.000 0.000 0.000
V 0.000 0.500 0.500
V 0.500 0.000 0.500
V 0.500 0.500 0.000
Re 0.500 0.500 0.500
CELL_PARAMETERS angstrom
4.873 0.000 0.000
0.000 4.873 0.000
0.000 0.000 4.873
! * E above lowest polymorph: 0 meV/atom
! * energy: -0.511 Ry/atom
! * size of the total moment: 1.21 μB per atom

***

- What is the energy in the third record?
  -0.511 Ry/atom

***

Copy entry 2 word for word.
! K2TlRe PBE-GGA relaxed; values from VASP
&SYSTEM
  ibrav = 0, nat = 4, ntyp = 3
/
ATOMIC_SPECIES
K 39.10 K.upf
Tl 204.38 Tl.upf
Re 186.21 Re.upf
ATOMIC_POSITIONS crystal
K 0.000 0.000 0.000
K 0.500 0.500 0.407
Tl 0.500 0.500 0.730
Re 0.000 0.000 0.674
CELL_PARAMETERS angstrom
3.794 0.000 0.000
0.000 3.794 0.000
0.000 0.000 10.177
! * E above lowest polymorph: 46 meV/atom
! * energy: -0.241 Ry/atom
! * size of the total moment: 0.21 μB per atom

***

- Which of these has the highest energy?
  K2TlRe